Record 1
VASP calculation (PBE) on crystalline Ba2RePd at its relaxed geometry.

Total DFT energy (no corrections) = -35.1 eV/cell
Excess energy over the best structure of this formula in the dataset = 0.64 eV per formula unit
Density of states at the Fermi level = 4.9 states/eV/f.u.

a b c (Å): 8.5808 8.5808 6.9017
angles (deg): 51.56 51.56 90.00
Site moments in Bohr magnetons follow the coordinates.
Positions (direct):
Pd: 0.2500 0.7500 0.5000  0.07
Pd: 0.5000 0.5000 0.0000  0.07
Ba: 0.6103 0.1250 0.2500  -0.02
Ba: 0.8750 0.8603 0.7500  -0.03
Ba: 0.1397 0.6250 0.2500  -0.03
Ba: 0.3750 0.3897 0.7500  -0.02
Re: 0.7500 0.2500 0.5000  2.32
Re: 0.0000 0.0000 0.0000  2.32

Record 2
VASP calculation (PBE) on crystalline SmDy3Sb at its relaxed geometry.

Total DFT energy (no corrections) = -98.2 eV/cell
Density of states at the Fermi level = 7.2 states/eV/f.u.
ΔE_f (raw) = -0.381 eV per atom

a b c (Å): 3.9929 10.7384 14.5088
angles (deg): 90.00 90.00 90.00
Positions (direct):
Dy: 0.2500 0.3633 0.3151
Dy: 0.2500 0.3872 0.7307
Dy: 0.7500 0.1128 0.2307
Dy: 0.2500 0.0831 0.4240
Dy: 0.2500 0.5831 0.0760
Dy: 0.7500 0.6367 0.6849
Dy: 0.7500 0.6128 0.2693
Dy: 0.7500 0.1367 0.8151
Dy: 0.2500 0.8872 0.7693
Dy: 0.2500 0.8633 0.1849
Dy: 0.7500 0.4169 0.9240
Dy: 0.7500 0.9169 0.5760
Sm: 0.2500 0.6708 0.4710
Sm: 0.2500 0.1708 0.0290
Sm: 0.7500 0.3292 0.5290
Sm: 0.7500 0.8292 0.9710
Sb: 0.2500 0.6291 0.8611
Sb: 0.7500 0.3709 0.1389
Sb: 0.7500 0.8709 0.3611
Sb: 0.2500 0.1291 0.6389